First-principles (PBEsol) data for a relaxed CaCr2Te crystal, as listed in the Alexandria database.

Values from the calculation:
ΔE_f (raw) ... 0.480 eV/atom
Total magnetization ... 15.7 Bohr magnetons per cell
Calculated density ... 5.42 g cm⁻³

a = 4.179 Å, b = 4.179 Å, c = 9.529 Å
α = 90.00°, β = 90.00°, γ = 90.00°
Space group I-4m2 (No. 119)
One atom of each set of equivalent atoms:
Ca 0.000 0.000 0.000
Cr 0.000 0.000 0.500
Cr 0.000 0.500 0.250
Te 0.000 0.500 0.750